LiMn2VO4 | GGA+U | relaxed

```
LiMn2VO4
1.0
-4.0606 1.0790 -1.0445
-0.3087 -3.5573 -2.4482
0.6460 -1.0889 5.3231
Li Mn V O
1 2 1 4
direct
0.4372 0.4372 0.0000
0.1871 0.6871 0.5000
0.6871 0.1871 0.5000
0.9372 0.9372 0.0000
0.9372 0.4371 0.0000
0.4371 0.9372 0.0000
0.1604 0.1604 0.4464
0.7140 0.7140 0.5536
```

Calculated values
As for the calculated total energy: -58.57 eV/f.u.